Entry 1:
Density functional theory data (PBE) for crystalline Ac3Se2O2 at its relaxed geometry.

It has space group P-1 (No. 2), with a = 3.943 Å, b = 6.602 Å, c = 7.760 Å, α = 99.45°, β = 90.05° and γ = 107.20°. The inequivalent atoms are Ac at (0.000, 0.000, 0.000), Ac at (0.228, 0.454, 0.768), Se at (0.121, 0.239, 0.371) and O at (0.364, 0.727, 0.048).

The energy above the lowest structure with this stoichiometry is 0.305 eV/atom. The total DFT energy (no corrections) is -45.499 eV for the cell shown.

***

Entry 2:
Density functional theory data (PBE) for crystalline LiZn2F6 at its relaxed geometry.

It has space group P4_2/mnm (No. 136), with a = 4.719 Å, b = 4.719 Å, c = 9.293 Å, α = 90.00°, β = 90.00° and γ = 90.00°. The inequivalent atoms are Li at (0.000, 0.000, 0.000), Zn at (0.000, 0.000, 0.332), F at (0.192, 0.192, 0.500) and F at (0.198, 0.198, 0.171).

The energy above the lowest structure with this stoichiometry is 0.000 eV/atom. The total DFT energy (no corrections) is -71.003 eV for the cell shown.

***

| no. | formation energy without anion corrections (eV/atom) | N(E_F) (states/eV per atom) |
| --- | --- | --- |
| 1 | -2.327 | 0.35 |
| 2 | -2.201 | 0.55 |